Record 1
Material: Sm12Y6Ho
Method: DFT, GGA-PBE
State: relaxed

Results
DOS at the Fermi energy, states/eV/cell: 33.9
Crystal system: trigonal
Polymorph energy (0 for the lowest one), meV/atom: 0.0
Calculated formation energy, kJ per mole of atoms: 13.8

Lattice parameters (Å, degrees): 8.6410 8.6410 8.6410 89.15 89.15 89.15
Closest atoms and distances in Å follow each position.
Positions (direct):
1 Sm 0.0169 0.3593 0.1983  4 Sm 3.44-3.62, 4 Y 3.53-3.73, 1 Ho 3.57
2 Sm 0.1983 0.0169 0.3593  4 Sm 3.44-3.62, 4 Y 3.53-3.73, 1 Ho 3.57
3 Sm 0.2220 0.5661 0.4619  6 Sm 3.31-3.71, 3 Y 3.35-3.49
4 Sm 0.3593 0.1983 0.0169  4 Sm 3.44-3.62, 4 Y 3.53-3.73, 1 Ho 3.57
5 Sm 0.4339 0.5381 0.7780  6 Sm 3.31-3.71, 3 Y 3.35-3.49
6 Sm 0.4619 0.2220 0.5661  6 Sm 3.31-3.71, 3 Y 3.35-3.49
7 Sm 0.5381 0.7780 0.4339  6 Sm 3.31-3.71, 3 Y 3.35-3.49
8 Sm 0.5661 0.4619 0.2220  6 Sm 3.31-3.71, 3 Y 3.35-3.49
9 Sm 0.6407 0.8017 0.9831  4 Sm 3.44-3.62, 4 Y 3.53-3.73, 1 Ho 3.57
10 Sm 0.7780 0.4339 0.5381  6 Sm 3.31-3.71, 3 Y 3.35-3.49
11 Sm 0.8017 0.9831 0.6407  4 Sm 3.44-3.62, 4 Y 3.53-3.73, 1 Ho 3.57
12 Sm 0.9831 0.6407 0.8017  4 Sm 3.44-3.62, 4 Y 3.53-3.73, 1 Ho 3.57
13 Y 0.0971 0.2612 0.6991  7 Sm 3.35-3.73, 1 Ho 3.52, 2 Y 3.55
14 Y 0.2612 0.6991 0.0971  7 Sm 3.35-3.73, 1 Ho 3.52, 2 Y 3.55
15 Y 0.3009 0.9029 0.7388  7 Sm 3.35-3.73, 1 Ho 3.52, 2 Y 3.55
16 Y 0.6991 0.0971 0.2612  7 Sm 3.35-3.73, 1 Ho 3.52, 2 Y 3.55
17 Y 0.7388 0.3009 0.9029  7 Sm 3.35-3.73, 1 Ho 3.52, 2 Y 3.55
18 Y 0.9029 0.7388 0.3009  7 Sm 3.35-3.73, 1 Ho 3.52, 2 Y 3.55
19 Ho 0.0000 0.0000 0.0000  6 Y 3.52, 6 Sm 3.57

***

Record 2
Material: Si3Hg
Method: DFT, GGA-PBE
State: relaxed

Results
DOS at the Fermi energy, states/eV/cell: 1.0
Crystal system: cubic
Polymorph energy (0 for the lowest one), meV/atom: 75.9

Lattice parameters (Å, degrees): 4.5706 4.5706 4.5706 109.47 109.47 109.47
Closest atoms and distances in Å follow each position.
Positions (direct):
1 Si 0.0000 0.5000 0.5000  2 Hg 2.64, 4 Si 2.64
2 Si 0.5000 0.0000 0.5000  2 Hg 2.64, 4 Si 2.64
3 Si 0.5000 0.5000 0.0000  2 Hg 2.64, 4 Si 2.64
4 Hg 0.0000 0.0000 0.0000  6 Si 2.64

***

Record 3
Material: Sr4Sn6Pb7
Method: DFT, GGA-PBE
State: relaxed

Results
DOS at the Fermi energy, states/eV/cell: 11.1
Crystal system: cubic
Calculated formation energy, kJ per mole of atoms: -28.3

Lattice parameters (Å, degrees): 8.9324 8.9324 8.9324 109.47 109.47 109.47
Closest atoms and distances in Å follow each position.
Positions (direct):
1 Sr 0.0000 0.0000 0.5000  6 Pb 3.65, 6 Sn 3.69
2 Sr 0.0000 0.5000 0.0000  6 Pb 3.65, 6 Sn 3.69
3 Sr 0.5000 0.0000 0.0000  6 Pb 3.65, 6 Sn 3.69
4 Sr 0.5000 0.5000 0.5000  6 Pb 3.65, 6 Sn 3.69
5 Sn 0.0000 0.3048 0.3048  5 Pb 3.14-3.27
6 Sn 0.0000 0.6952 0.6952  5 Pb 3.14-3.27
7 Sn 0.3048 0.0000 0.3048  5 Pb 3.14-3.27
8 Sn 0.3048 0.3048 0.0000  5 Pb 3.14-3.27
9 Sn 0.6952 0.0000 0.6952  5 Pb 3.14-3.27
10 Sn 0.6952 0.6952 0.0000  5 Pb 3.14-3.27
11 Pb 0.0000 0.0000 0.0000  6 Sn 3.14
12 Pb 0.2500 0.5000 0.7500  4 Sn 3.27, 4 Sr 3.65, 4 Pb 3.65
13 Pb 0.2500 0.7500 0.5000  4 Sn 3.27, 4 Pb 3.65, 4 Sr 3.65
14 Pb 0.5000 0.2500 0.7500  4 Sn 3.27, 4 Pb 3.65, 4 Sr 3.65
15 Pb 0.5000 0.7500 0.2500  4 Sn 3.27, 4 Pb 3.65, 4 Sr 3.65
16 Pb 0.7500 0.2500 0.5000  4 Sn 3.27, 4 Pb 3.65, 4 Sr 3.65
17 Pb 0.7500 0.5000 0.2500  4 Sn 3.27, 4 Pb 3.65, 4 Sr 3.65

***

Record 4
Material: Dy2ClO2
Method: DFT, GGA-PBE
State: relaxed

Results
DOS at the Fermi energy, states/eV/cell: 2.6
Crystal system: monoclinic

Lattice parameters (Å, degrees): 6.0238 6.0238 7.8165 106.31 106.31 44.44
Closest atoms and distances in Å follow each position.
Positions (direct):
1 Dy 0.0102 0.0102 0.2327  4 O 2.31-2.40
2 Dy 0.3333 0.3333 0.9325  5 O 2.26-2.51
3 Dy 0.6667 0.6667 0.0675  5 O 2.26-2.51
4 Dy 0.9898 0.9898 0.7673  4 O 2.31-2.40
5 Cl 0.1657 0.1657 0.5854  3 Dy 2.75-2.79
6 Cl 0.8343 0.8343 0.4146  3 Dy 2.75-2.79
7 O 0.1466 0.1466 0.0478  5 Dy 2.29-2.51
8 O 0.4994 0.4994 0.1851  4 Dy 2.26-2.32
9 O 0.5006 0.5006 0.8149  4 Dy 2.26-2.32
10 O 0.8534 0.8534 0.9522  5 Dy 2.29-2.51

***

Calculated raw total energy in order - -97.27, -14.66, -61.69, -70.31 eV/cell